P.
Compound: RhW3Se
Source: Alexandria via LeMat-Bulk
Functional: GGA-PBE
Structure: relaxed

## Properties
Space group ... Pm-3m (221)
N(E_F) ... 1.6068 states/eV per atom

abc: 4.550 4.550 4.550
angles: 90.00 90.00 90.00
Fractional positions:
Rh 0.000 0.000 0.000
W 0.000 0.500 0.500
W 0.500 0.000 0.500
W 0.500 0.500 0.000
Se 0.500 0.500 0.500


Q.
Compound: RhW3Se
Source: Alexandria via LeMat-Bulk
Functional: GGA-PBE
Structure: relaxed

## Properties
Space group ... Pm-3m (221)
N(E_F) ... 0.7178 states/eV per atom

abc: 4.735 4.735 4.735
angles: 90.00 90.00 90.00
Fractional positions:
Rh 0.000 0.000 0.000
W 0.000 0.000 0.500
W 0.000 0.500 0.000
W 0.500 0.000 0.000
Se 0.500 0.500 0.500


Stability check: which of them is most stable? P.


P.
Compound: Zn3RhSe
Source: Alexandria via LeMat-Bulk
Functional: GGA-PBE
Structure: relaxed

## Properties
Space group ... Pm-3m (221)
N(E_F) ... 0.8098 states/eV per atom

abc: 4.740 4.740 4.740
angles: 90.00 90.00 90.00
Fractional positions:
Zn 0.000 0.000 0.500
Zn 0.000 0.500 0.000
Zn 0.500 0.000 0.000
Rh 0.500 0.500 0.500
Se 0.000 0.000 0.000


Q.
Compound: Zn3RhSe
Source: Alexandria via LeMat-Bulk
Functional: GGA-PBE
Structure: relaxed

## Properties
Space group ... Pm-3m (221)
N(E_F) ... 0.7312 states/eV per atom

abc: 4.762 4.762 4.762
angles: 90.00 90.00 90.00
Fractional positions:
Zn 0.000 0.000 0.500
Zn 0.000 0.500 0.000
Zn 0.500 0.000 0.000
Rh 0.000 0.000 0.000
Se 0.500 0.500 0.500


Stability check: which of them is most stable? Q.


P.
Compound: ZnRhSe
Source: Alexandria via LeMat-Bulk
Functional: GGA-PBE
Structure: relaxed

## Properties
Space group ... F-43m (216)
N(E_F) ... 0.9721 states/eV per atom

abc: 4.244 4.244 4.244
angles: 60.00 60.00 60.00
Fractional positions:
Zn 0.000 0.000 0.000
Rh 0.500 0.500 0.500
Se 0.250 0.250 0.250


Q.
Compound: ZnRhSe
Source: Alexandria via LeMat-Bulk
Functional: GGA-PBE
Structure: relaxed

## Properties
Space group ... Amm2 (38)
N(E_F) ... 0.6583 states/eV per atom

abc: 11.266 3.247 3.247
angles: 60.03 90.00 90.00
Fractional positions:
Zn 0.157 0.000 0.000
Zn 0.843 0.000 0.000
Rh 0.000 0.333 0.333
Rh 0.500 0.332 0.332
Se 0.347 0.666 0.666
Se 0.653 0.666 0.666


R.
Compound: ZnRhSe
Source: Alexandria via LeMat-Bulk
Functional: GGA-PBE
Structure: relaxed

## Properties
Space group ... P3m1 (156)
N(E_F) ... 0.4550 states/eV per atom

abc: 3.227 3.227 5.753
angles: 90.00 90.00 120.00
Fractional positions:
Zn 0.000 0.000 0.000
Rh 0.667 0.333 0.326
Se 0.333 0.667 0.607


S.
Compound: ZnRhSe
Source: Alexandria via LeMat-Bulk
Functional: GGA-PBE
Structure: relaxed

## Properties
Space group ... F-43m (216)
N(E_F) ... 0.9478 states/eV per atom

abc: 4.227 4.227 4.227
angles: 60.00 60.00 60.00
Fractional positions:
Zn 0.000 0.000 0.000
Rh 0.250 0.250 0.250
Se 0.500 0.500 0.500


Stability check: which of them is most stable? S.


P.
Compound: ZnRhSe3
Source: Alexandria via LeMat-Bulk
Functional: GGA-PBE
Structure: relaxed

## Properties
Space group ... Pm-3m (221)
N(E_F) ... 1.1950 states/eV per atom

abc: 4.818 4.818 4.818
angles: 90.00 90.00 90.00
Fractional positions:
Zn 0.000 0.000 0.000
Rh 0.500 0.500 0.500
Se 0.000 0.000 0.500
Se 0.000 0.500 0.000
Se 0.500 0.000 0.000


Q.
Compound: ZnRhSe3
Source: Alexandria via LeMat-Bulk
Functional: GGA-PBE
Structure: relaxed

## Properties
Space group ... Pm-3m (221)
N(E_F) ... 1.4947 states/eV per atom

abc: 4.914 4.914 4.914
angles: 90.00 90.00 90.00
Fractional positions:
Zn 0.000 0.000 0.000
Rh 0.500 0.500 0.500
Se 0.000 0.500 0.500
Se 0.500 0.000 0.500
Se 0.500 0.500 0.000


Stability check: which of them is most stable? Q.


P.
Compound: ZrRh3Se
Source: Alexandria via LeMat-Bulk
Functional: GGA-PBE
Structure: relaxed

## Properties
Space group ... Pm-3m (221)
N(E_F) ... 2.8562 states/eV per atom

abc: 4.560 4.560 4.560
angles: 90.00 90.00 90.00
Fractional positions:
Zr 0.000 0.000 0.000
Rh 0.000 0.500 0.500
Rh 0.500 0.000 0.500
Rh 0.500 0.500 0.000
Se 0.500 0.500 0.500


Q.
Compound: ZrRh3Se
Source: Alexandria via LeMat-Bulk
Functional: GGA-PBE
Structure: relaxed

## Properties
Space group ... Pm-3m (221)
N(E_F) ... 1.4563 states/eV per atom

abc: 4.813 4.813 4.813
angles: 90.00 90.00 90.00
Fractional positions:
Zr 0.000 0.000 0.000
Rh 0.000 0.000 0.500
Rh 0.000 0.500 0.000
Rh 0.500 0.000 0.000
Se 0.500 0.500 0.500


Stability check: which of them is most stable? P.


P.
Compound: Si5Rh
Source: Alexandria via LeMat-Bulk
Functional: GGA-PBE
Structure: relaxed

## Properties
Space group ... P-62m (189)
N(E_F) ... 0.8540 states/eV per atom

abc: 4.559 4.559 4.690
angles: 90.00 90.00 120.00
Fractional positions:
Si 0.000 0.673 0.000
Si 0.327 0.327 0.000
Si 0.333 0.667 0.500
Si 0.667 0.333 0.500
Si 0.673 0.000 0.000
Rh 0.000 0.000 0.500


Q.
Compound: Si5Rh
Source: Alexandria via LeMat-Bulk
Functional: GGA-PBE
Structure: relaxed

## Properties
Space group ... Cm (8)
N(E_F) ... 0.2861 states/eV per atom

abc: 5.931 5.931 6.248
angles: 120.78 120.78 29.41
Fractional positions:
Si 0.000 0.000 0.000
Si 0.305 0.305 0.920
Si 0.507 0.507 0.389
Si 0.704 0.704 0.112
Si 0.898 0.898 0.553
Rh 0.193 0.193 0.446


Stability check: which of them is most stable? Q.


P.
Compound: Si5Rh
Source: Alexandria via LeMat-Bulk
Functional: GGA-PBE
Structure: relaxed

## Properties
Space group ... F-43m (216)
N(E_F) ... 0.9221 states/eV per atom

abc: 5.007 5.007 5.007
angles: 60.00 60.00 60.00
Fractional positions:
Si 0.000 0.000 0.000
Si 0.122 0.626 0.626
Si 0.626 0.122 0.626
Si 0.626 0.626 0.122
Si 0.626 0.626 0.626
Rh 0.250 0.250 0.250


Q.
Compound: Si5Rh
Source: Alexandria via LeMat-Bulk
Functional: GGA-PBE
Structure: relaxed

## Properties
Space group ... P4/mmm (123)
N(E_F) ... 0.6559 states/eV per atom

abc: 2.831 2.831 10.580
angles: 90.00 90.00 90.00
Fractional positions:
Si 0.000 0.000 0.000
Si 0.000 0.000 0.347
Si 0.000 0.000 0.653
Si 0.500 0.500 0.170
Si 0.500 0.500 0.830
Rh 0.500 0.500 0.500


Stability check: which of them is most stable? Q.


P.
Compound: Si5Rh
Source: Alexandria via LeMat-Bulk
Functional: GGA-PBE
Structure: relaxed

## Properties
Space group ... P6/mmm (191)
N(E_F) ... 0.6689 states/eV per atom

abc: 4.742 4.742 4.766
angles: 90.00 90.00 120.00
Fractional positions:
Si 0.000 0.500 0.000
Si 0.333 0.667 0.500
Si 0.500 0.000 0.000
Si 0.500 0.500 0.000
Si 0.667 0.333 0.500
Rh 0.000 0.000 0.500


Q.
Compound: Si5Rh
Source: Alexandria via LeMat-Bulk
Functional: GGA-PBE
Structure: relaxed

## Properties
Space group ... Amm2 (38)
N(E_F) ... 0.5169 states/eV per atom

abc: 4.611 6.027 6.027
angles: 31.70 90.00 90.00
Fractional positions:
Si 0.000 0.000 0.000
Si 0.000 0.324 0.324
Si 0.000 0.663 0.663
Si 0.500 0.089 0.089
Si 0.500 0.417 0.417
Rh 0.500 0.749 0.749


Stability check: which of them is most stable? Q.